Compound: Pm3Ga2CuAu6
Source: the Alexandria database
Functional: PBE
Structure: optimized geometry

## Properties
For the total magnetization, the calculation gives 0.0 μB/f.u. The value obtained for the density of states at the Fermi level is 0.59 states/eV/atom. The energy of formation from the pure elements comes out at -0.460 eV/atom. As for the calculated volume: 270.3 Å³/cell.

```
data_Pm3Ga2CuAu6
_chemical_formula_sum 'Pm3 Ga2 Cu1 Au6'
_cell_length_a 6.1112
_cell_length_b 6.1112
_cell_length_c 8.3572
_cell_angle_alpha 90.00
_cell_angle_beta 90.00
_cell_angle_gamma 120.00
_symmetry_space_group_name_H-M 'P -3 m 1'
_symmetry_Int_Tables_number 164
_symmetry_space_group_name_Hall '-P 3 2"'
loop_
_atom_site_label
_atom_site_type_symbol
_atom_site_fract_x
_atom_site_fract_y
_atom_site_fract_z
Pm1 Pm 0.0000 0.0000 0.0000
Pm2 Pm 0.3333 0.6667 0.6306
Ga1 Ga 0.3333 0.6667 0.0148
Cu1 Cu 0.0000 0.0000 0.5000
Au1 Au 0.1763 0.3526 0.2830
```

Compound: PmGa2CuAu
Source: the Alexandria database
Functional: PBE
Structure: optimized geometry

## Properties
For the total magnetization, the calculation gives 0.0 μB/f.u. The value obtained for the density of states at the Fermi level is 0.50 states/eV/atom. The energy of formation from the pure elements comes out at -0.525 eV/atom. As for the calculated volume: 193.4 Å³/cell.

```
data_PmGa2CuAu
_chemical_formula_sum 'Pm2 Ga4 Cu2 Au2'
_cell_length_a 4.3260
_cell_length_b 4.3260
_cell_length_c 10.3333
_cell_angle_alpha 90.00
_cell_angle_beta 90.00
_cell_angle_gamma 90.00
_symmetry_space_group_name_H-M 'I -4 m 2'
_symmetry_Int_Tables_number 119
_symmetry_space_group_name_Hall 'I -4 -2'
loop_
_atom_site_label
_atom_site_type_symbol
_atom_site_fract_x
_atom_site_fract_y
_atom_site_fract_z
Pm1 Pm 0.0000 0.0000 0.0000
Ga1 Ga 0.0000 0.0000 0.3808
Cu1 Cu 0.0000 0.5000 0.7500
Au1 Au 0.0000 0.5000 0.2500
```

Compound: Pm2Ga4CuAu3
Source: the Alexandria database
Functional: PBE
Structure: optimized geometry

## Properties
For the total magnetization, the calculation gives 0.0 μB/f.u. The value obtained for the density of states at the Fermi level is 0.51 states/eV/atom. The energy of formation from the pure elements comes out at -0.592 eV/atom. As for the calculated volume: 201.1 Å³/cell.

```
data_Pm2Ga4CuAu3
_chemical_formula_sum 'Pm2 Ga4 Cu1 Au3'
_cell_length_a 4.3538
_cell_length_b 4.3538
_cell_length_c 10.6094
_cell_angle_alpha 90.00
_cell_angle_beta 90.00
_cell_angle_gamma 90.00
_symmetry_space_group_name_H-M 'P -4 m 2'
_symmetry_Int_Tables_number 115
loop_
_symmetry_equiv_pos_as_xyz
'x,y,z'
'y,-x,-z'
'-x,-y,z'
'-y,x,-z'
'-x,y,z'
'-y,-x,-z'
'x,-y,z'
'y,x,-z'
loop_
_atom_site_label
_atom_site_type_symbol
_atom_site_fract_x
_atom_site_fract_y
_atom_site_fract_z
Pm1 Pm 0.0000 0.5000 0.2433
Ga1 Ga 0.0000 0.0000 0.5000
Ga2 Ga 0.0000 0.5000 0.8735
Ga3 Ga 0.5000 0.5000 0.5000
Cu1 Cu 0.5000 0.5000 0.0000
Au1 Au 0.0000 0.0000 0.0000
Au2 Au 0.0000 0.5000 0.6369
```

Compound: PrGa2CuAu4
Source: the Alexandria database
Functional: PBE
Structure: optimized geometry

## Properties
For the total magnetization, the calculation gives 0.0 μB/f.u. The value obtained for the density of states at the Fermi level is 0.43 states/eV/atom. The energy of formation from the pure elements comes out at -0.389 eV/atom. As for the calculated volume: 464.5 Å³/cell.

```
data_PrGa2CuAu4
_chemical_formula_sum 'Pr3 Ga6 Cu3 Au12'
_cell_length_a 4.4946
_cell_length_b 4.4946
_cell_length_c 26.5508
_cell_angle_alpha 90.00
_cell_angle_beta 90.00
_cell_angle_gamma 120.00
_symmetry_space_group_name_H-M 'R -3 m'
_symmetry_Int_Tables_number 166
_symmetry_space_group_name_Hall '-R 3 2"'
loop_
_atom_site_label
_atom_site_type_symbol
_atom_site_fract_x
_atom_site_fract_y
_atom_site_fract_z
Pr1 Pr 0.0000 0.0000 0.0000
Ga1 Ga 0.0000 0.0000 0.2432
Cu1 Cu 0.0000 0.0000 0.5000
Au1 Au 0.0000 0.0000 0.1359
Au2 Au 0.0000 0.0000 0.3994
```

Compound: PrGa3CuAu
Source: the Alexandria database
Functional: PBE
Structure: optimized geometry

## Properties
For the total magnetization, the calculation gives 0.0 μB/f.u. The value obtained for the density of states at the Fermi level is 0.47 states/eV/atom. The energy of formation from the pure elements comes out at -0.257 eV/atom. As for the calculated volume: 476.7 Å³/cell.

```
data_PrGa3CuAu
_chemical_formula_sum 'Pr4 Ga12 Cu4 Au4'
_cell_length_a 5.8126
_cell_length_b 13.2935
_cell_length_c 6.1694
_cell_angle_alpha 90.00
_cell_angle_beta 90.00
_cell_angle_gamma 90.00
_symmetry_space_group_name_H-M 'C m c m'
_symmetry_Int_Tables_number 63
_symmetry_space_group_name_Hall '-C 2c 2'
loop_
_atom_site_label
_atom_site_type_symbol
_atom_site_fract_x
_atom_site_fract_y
_atom_site_fract_z
Pr1 Pr 0.0000 0.2038 0.2500
Ga1 Ga 0.0000 0.3739 0.7500
Ga2 Ga 0.2168 0.0000 0.0000
Cu1 Cu 0.0000 0.4176 0.2500
Au1 Au 0.0000 0.1640 0.7500
```

Compound: Pr2Ga4CuAu3
Source: the Alexandria database
Functional: PBE
Structure: optimized geometry

## Properties
For the total magnetization, the calculation gives 0.0 μB/f.u. The value obtained for the density of states at the Fermi level is 0.53 states/eV/atom. The energy of formation from the pure elements comes out at -0.602 eV/atom. As for the calculated volume: 204.7 Å³/cell.

```
data_Pr2Ga4CuAu3
_chemical_formula_sum 'Pr2 Ga4 Cu1 Au3'
_cell_length_a 4.4049
_cell_length_b 4.4049
_cell_length_c 10.5518
_cell_angle_alpha 90.00
_cell_angle_beta 90.00
_cell_angle_gamma 90.00
_symmetry_space_group_name_H-M 'P -4 m 2'
_symmetry_Int_Tables_number 115
loop_
_symmetry_equiv_pos_as_xyz
'x,y,z'
'y,-x,-z'
'-x,-y,z'
'-y,x,-z'
'-x,y,z'
'-y,-x,-z'
'x,-y,z'
'y,x,-z'
loop_
_atom_site_label
_atom_site_type_symbol
_atom_site_fract_x
_atom_site_fract_y
_atom_site_fract_z
Pr1 Pr 0.0000 0.5000 0.2441
Ga1 Ga 0.0000 0.0000 0.5000
Ga2 Ga 0.0000 0.5000 0.8744
Ga3 Ga 0.5000 0.5000 0.5000
Cu1 Cu 0.5000 0.5000 0.0000
Au1 Au 0.0000 0.0000 0.0000
Au2 Au 0.0000 0.5000 0.6351
```

Compound: Pr2Ga4Cu3Au
Source: the Alexandria database
Functional: PBE
Structure: optimized geometry

## Properties
For the total magnetization, the calculation gives 0.0 μB/f.u. The value obtained for the density of states at the Fermi level is 0.55 states/eV/atom. The energy of formation from the pure elements comes out at -0.494 eV/atom. As for the calculated volume: 189.2 Å³/cell.

```
data_Pr2Ga4Cu3Au
_chemical_formula_sum 'Pr2 Ga4 Cu3 Au1'
_cell_length_a 4.3006
_cell_length_b 4.3006
_cell_length_c 10.2318
_cell_angle_alpha 90.00
_cell_angle_beta 90.00
_cell_angle_gamma 90.00
_symmetry_space_group_name_H-M 'P -4 m 2'
_symmetry_Int_Tables_number 115
loop_
_symmetry_equiv_pos_as_xyz
'x,y,z'
'y,-x,-z'
'-x,-y,z'
'-y,x,-z'
'-x,y,z'
'-y,-x,-z'
'x,-y,z'
'y,x,-z'
loop_
_atom_site_label
_atom_site_type_symbol
_atom_site_fract_x
_atom_site_fract_y
_atom_site_fract_z
Pr1 Pr 0.0000 0.5000 0.2476
Ga1 Ga 0.0000 0.0000 0.0000
Ga2 Ga 0.0000 0.5000 0.6400
Ga3 Ga 0.5000 0.5000 0.0000
Cu1 Cu 0.0000 0.5000 0.8752
Cu2 Cu 0.5000 0.5000 0.5000
Au1 Au 0.0000 0.0000 0.5000
```

Compound: PrGa2CuAu5
Source: the Alexandria database
Functional: PBE
Structure: optimized geometry

## Properties
For the total magnetization, the calculation gives 0.0 μB/f.u. The value obtained for the density of states at the Fermi level is 0.23 states/eV/atom. The energy of formation from the pure elements comes out at -0.194 eV/atom. As for the calculated volume: 185.5 Å³/cell.

```
data_PrGa2CuAu5
_chemical_formula_sum 'Pr1 Ga2 Cu1 Au5'
_cell_length_a 5.0164
_cell_length_b 5.0164
_cell_length_c 7.3717
_cell_angle_alpha 90.00
_cell_angle_beta 90.00
_cell_angle_gamma 90.00
_symmetry_space_group_name_H-M 'P 4/m m m'
_symmetry_Int_Tables_number 123
_symmetry_space_group_name_Hall '-P 4 2'
loop_
_atom_site_label
_atom_site_type_symbol
_atom_site_fract_x
_atom_site_fract_y
_atom_site_fract_z
Pr1 Pr 0.0000 0.0000 0.0000
Ga1 Ga 0.5000 0.5000 0.3393
Cu1 Cu 0.0000 0.0000 0.5000
Au1 Au 0.0000 0.5000 0.2793
Au2 Au 0.5000 0.5000 0.0000
```